## PmBN2 (PBE)

Data for crystalline PmBN2 at its relaxed geometry.

Unit cell a=3.788 b=3.788 c=5.498 alpha=69.85 beta=69.85 gamma=60.00
Fractional coordinates of all 4 atoms:
B 0.000 0.000 0.000
N 0.089 0.089 0.734
N 0.911 0.911 0.266
Pm 0.500 0.500 0.500

Calculated values
DOS at the Fermi energy = 0.000 states/eV/f.u.
space-group type = R-3m, No. 166
formation energy (no corrections) = -1.2851 eV/atom